Here is Dy2Er7Pu after structural relaxation from Alexandria. Energies are from PBE.

CIF file:
```
data_Dy2Er7Pu
_symmetry_space_group_name_H-M 'I m m m'
_symmetry_Int_Tables_number 71
_symmetry_space_group_name_Hall '-I 2 2'
_cell_length_a 3.576
_cell_length_b 11.508
_cell_length_c 16.159
_cell_angle_alpha 90.00
_cell_angle_beta 90.00
_cell_angle_gamma 90.00
loop_
_atom_site_label
_atom_site_type_symbol
_atom_site_fract_x
_atom_site_fract_y
_atom_site_fract_z
_atom_site_occupancy
Dy1 Dy 0.000 0.000 0.165 1
Er1 Er 0.000 0.000 0.500 1
Er2 Er 0.000 0.249 0.349 1
Er3 Er 0.000 0.500 0.172 1
Pu1 Pu 0.000 0.500 0.500 1
```

Calculated values
* magnetic moment: 7.67 μB per formula unit
* E_form: 0.351 eV/atom
* electronic total energy: -5.20 eV per atom